A geometry-optimized Y2Ga5Cu5 structure. Source: the Alexandria database, functional PBE-GGA.

Output
ρ, g/cm³: 7.1
Magnetic moment, μB per cell: 0.0
DFT total energy, eV per atom: -4.38
Symmetry: Pmmm (47)

POSCAR file:
```
Y2Ga5Cu5
1.0
4.036 0.000 0.000
0.000 5.253 0.000
0.000 0.000 9.335
Y Ga Cu
2 5 5
direct
0.000 0.000 0.000
0.000 0.500 0.500
0.000 0.000 0.315
0.000 0.000 0.685
0.000 0.500 0.167
0.000 0.500 0.833
0.500 0.000 0.500
0.500 0.253 0.249
0.500 0.253 0.751
0.500 0.500 0.000
0.500 0.747 0.249
0.500 0.747 0.751
```